(1)
{
  "formula": "UCrGaTc",
  "functional": "PBE",
  "state": "optimized geometry",
  "cell": [[-2.480, 3.708, 0.743], [-4.393, -0.382, 1.004], [-1.456, 0.948, 4.176]],
  "species": ["Tc", "Cr", "U", "Ga"],
  "fractional_positions": [[0.000, 0.000, 0.000], [0.500, 0.500, 0.500], [0.750, 0.750, 0.750], [0.250, 0.250, 0.250]],
  "formation_energy_ev_per_atom": 0.004,
  "n_ef_per_ev_cell": 3.08
}

***

(2)
{
  "formula": "MnTl2P",
  "functional": "PBE",
  "state": "optimized geometry",
  "cell": [[7.250, -2.001, -0.152], [7.250, 2.001, -0.152], [6.770, 0.000, 3.281]],
  "species": ["Tl", "P", "Mn", "Tl"],
  "fractional_positions": [[0.771, 0.771, 0.771], [0.209, 0.209, 0.209], [0.541, 0.541, 0.541], [0.978, 0.978, 0.978]],
  "de_polymorph_ev_per_atom": 0.006,
  "formation_energy_ev_per_atom": 0.061,
  "n_ef_per_ev_cell": 2.28
}

***

(3)
{
  "formula": "Pr3Sm6Dy2Tl",
  "functional": "PBE",
  "state": "optimized geometry",
  "cell": [[6.264, -0.010, -0.003], [-3.139, 5.421, -0.003], [-1.058, -1.832, 11.671]],
  "species": ["Pr", "Dy", "Sm", "Tl", "Sm", "Pr", "Sm", "Pr", "Sm", "Sm", "Sm", "Dy"],
  "fractional_positions": [[0.831, 0.169, 0.500], [0.334, 0.666, 0.000], [0.247, 0.247, 0.756], [0.000, 0.000, 0.000], [0.594, 0.920, 0.758], [0.169, 0.831, 0.500], [0.406, 0.080, 0.242], [0.500, 0.500, 0.500], [0.080, 0.406, 0.242], [0.753, 0.753, 0.244], [0.920, 0.594, 0.758], [0.666, 0.334, 0.000]],
  "formation_energy_ev_per_atom": -0.009,
  "n_ef_per_ev_cell": 16.04
}

***

(4)
{
  "formula": "UGeRh",
  "functional": "PBE",
  "state": "optimized geometry",
  "cell": [[3.886, 0.000, 0.000], [0.000, 7.208, 0.000], [0.000, 0.000, 7.615]],
  "species": ["Ge", "Rh", "U", "Rh", "U", "Rh", "U", "Rh", "Ge", "Ge", "Ge", "U"],
  "fractional_positions": [[0.250, 0.867, 0.299], [0.250, 0.932, 0.629], [0.750, 0.631, 0.499], [0.250, 0.568, 0.129], [0.750, 0.869, 0.999], [0.750, 0.068, 0.371], [0.250, 0.369, 0.501], [0.750, 0.432, 0.871], [0.250, 0.633, 0.799], [0.750, 0.133, 0.701], [0.750, 0.367, 0.201], [0.250, 0.131, 0.001]],
  "formation_energy_ev_per_atom": -0.552,
  "n_ef_per_ev_cell": 15.11
}

***

(5)
{
  "formula": "TiVZn6",
  "functional": "PBE",
  "state": "optimized geometry",
  "cell": [[-2.570, 1.945, -2.149], [-1.760, -3.329, -0.908], [-4.602, 0.748, 6.181]],
  "species": ["Zn", "Zn", "Zn", "V", "Ti", "Zn", "Zn", "Zn"],
  "fractional_positions": [[0.500, 0.500, 0.500], [0.000, 0.500, 0.744], [0.500, 0.000, 0.256], [0.000, 0.000, 0.500], [0.000, 0.000, 0.000], [0.500, 0.500, 0.000], [0.000, 0.500, 0.256], [0.500, 0.000, 0.744]],
  "de_polymorph_ev_per_atom": 0.000,
  "formation_energy_ev_per_atom": -0.113,
  "n_ef_per_ev_cell": 6.56
}

***

(6)
{
  "formula": "Y6Ho2TmSc3",
  "functional": "PBE",
  "state": "optimized geometry",
  "cell": [[-0.611, -5.264, 2.913], [4.077, 0.544, -4.432], [6.610, 4.844, 8.050]],
  "species": ["Sc", "Sc", "Tm", "Y", "Ho", "Y", "Ho", "Y", "Y", "Sc", "Y", "Y"],
  "fractional_positions": [[0.833, 0.167, 0.500], [0.167, 0.833, 0.500], [0.000, 0.000, 0.000], [0.419, 0.086, 0.258], [0.667, 0.333, 0.000], [0.914, 0.581, 0.742], [0.333, 0.667, 0.000], [0.753, 0.753, 0.258], [0.247, 0.247, 0.742], [0.500, 0.500, 0.500], [0.086, 0.419, 0.258], [0.581, 0.914, 0.742]],
  "formation_energy_ev_per_atom": 0.053,
  "n_ef_per_ev_cell": 19.33
}

***

Listing total energy for the structures above in their given order: -34.3; -19.1; -54.3; -99.7; -25.6; -70.8 eV/cell.